This record from Alexandria describes a relaxed structure of HfTi2P. The functional is GGA-PBE.

abc: 3.492 9.808 7.768
angles: 90.00 90.00 90.00
Atoms (fractional coordinates):
1 Hf 0.000 0.056 0.250
2 Hf 0.000 0.944 0.750
3 Hf 0.500 0.444 0.750
4 Hf 0.500 0.556 0.250
5 Ti 0.000 0.359 0.044
6 Ti 0.000 0.359 0.456
7 Ti 0.000 0.641 0.544
8 Ti 0.000 0.641 0.956
9 Ti 0.500 0.141 0.544
10 Ti 0.500 0.141 0.956
11 Ti 0.500 0.859 0.044
12 Ti 0.500 0.859 0.456
13 P 0.000 0.232 0.750
14 P 0.000 0.768 0.250
15 P 0.500 0.268 0.250
16 P 0.500 0.732 0.750

Results
Crystal system: orthorhombic
Electronic total energy (eV per cell): -138.504

---

This record from Alexandria describes a relaxed structure of HfTiP2. The functional is GGA-PBE.

abc: 3.575 3.575 18.273
angles: 90.00 90.00 120.00
Atoms (fractional coordinates):
1 Hf 0.000 0.000 0.000
2 Hf 0.333 0.667 0.667
3 Hf 0.667 0.333 0.333
4 Ti 0.000 0.000 0.822
5 Ti 0.333 0.667 0.489
6 Ti 0.667 0.333 0.156
7 P 0.000 0.000 0.416
8 P 0.000 0.000 0.575
9 P 0.333 0.667 0.083
10 P 0.333 0.667 0.241
11 P 0.667 0.333 0.749
12 P 0.667 0.333 0.908

Results
Crystal system: trigonal
Electronic total energy (eV per cell): -100.267

---

This record from Alexandria describes a relaxed structure of Hf3TiP2. The functional is GGA-PBE.

abc: 7.387 7.387 7.387
angles: 131.82 73.42 128.21
Atoms (fractional coordinates):
1 Hf 0.037 0.750 0.287
2 Hf 0.250 0.250 0.000
3 Hf 0.463 0.750 0.713
4 Hf 0.537 0.250 0.287
5 Hf 0.750 0.750 0.000
6 Hf 0.963 0.250 0.713
7 Ti 0.000 0.500 0.500
8 Ti 0.500 0.000 0.500
9 P 0.143 0.191 0.334
10 P 0.357 0.691 0.048
11 P 0.643 0.309 0.952
12 P 0.857 0.809 0.666

Results
Crystal system: orthorhombic
Electronic total energy (eV per cell): -105.759

---

This record from Alexandria describes a relaxed structure of HfTi3P2. The functional is GGA-PBE.

abc: 7.801 7.801 7.957
angles: 115.12 115.12 25.63
Atoms (fractional coordinates):
1 Hf 0.114 0.114 0.124
2 Hf 0.886 0.886 0.876
3 Ti 0.048 0.048 0.659
4 Ti 0.317 0.317 0.106
5 Ti 0.341 0.341 0.523
6 Ti 0.659 0.659 0.477
7 Ti 0.683 0.683 0.894
8 Ti 0.952 0.952 0.341
9 P 0.239 0.239 0.731
10 P 0.492 0.492 0.165
11 P 0.508 0.508 0.835
12 P 0.761 0.761 0.269

Results
Crystal system: monoclinic
Electronic total energy (eV per cell): -100.291

---

This record from Alexandria describes a relaxed structure of HfTiP2. The functional is GGA-PBE.

abc: 3.625 3.625 17.670
angles: 90.00 90.00 120.00
Atoms (fractional coordinates):
1 Hf 0.000 0.000 0.000
2 Hf 0.333 0.667 0.667
3 Hf 0.667 0.333 0.333
4 Ti 0.000 0.000 0.500
5 Ti 0.333 0.667 0.167
6 Ti 0.667 0.333 0.833
7 P 0.000 0.000 0.246
8 P 0.000 0.000 0.754
9 P 0.333 0.667 0.421
10 P 0.333 0.667 0.912
11 P 0.667 0.333 0.088
12 P 0.667 0.333 0.579

Results
Crystal system: trigonal
Electronic total energy (eV per cell): -99.906

---

This record from Alexandria describes a relaxed structure of HfTi2P. The functional is GGA-PBE.

abc: 7.519 7.519 5.165
angles: 90.00 90.00 90.00
Atoms (fractional coordinates):
1 Hf 0.000 0.000 0.000
2 Hf 0.000 0.500 0.250
3 Hf 0.500 0.000 0.750
4 Hf 0.500 0.500 0.500
5 Ti 0.187 0.250 0.625
6 Ti 0.250 0.687 0.875
7 Ti 0.250 0.813 0.375
8 Ti 0.313 0.250 0.125
9 Ti 0.687 0.750 0.125
10 Ti 0.750 0.187 0.375
11 Ti 0.750 0.313 0.875
12 Ti 0.813 0.750 0.625
13 P 0.000 0.000 0.500
14 P 0.000 0.500 0.750
15 P 0.500 0.000 0.250
16 P 0.500 0.500 0.000

Results
Crystal system: tetragonal
Electronic total energy (eV per cell): -129.220

---

This record from Alexandria describes a relaxed structure of Hf3TiP4. The functional is GGA-PBE.

abc: 6.345 7.316 6.351
angles: 90.00 109.29 90.00
Atoms (fractional coordinates):
1 Hf 0.000 0.124 0.250
2 Hf 0.000 0.374 0.750
3 Hf 0.000 0.626 0.250
4 Hf 0.000 0.876 0.750
5 Hf 0.500 0.374 0.250
6 Hf 0.500 0.626 0.750
7 Ti 0.500 0.124 0.750
8 Ti 0.500 0.876 0.250
9 P 0.254 0.371 0.504
10 P 0.254 0.629 0.004
11 P 0.258 0.121 0.000
12 P 0.258 0.879 0.500
13 P 0.742 0.121 0.500
14 P 0.742 0.879 0.000
15 P 0.746 0.371 0.996
16 P 0.746 0.629 0.496

Results
Crystal system: monoclinic
Electronic total energy (eV per cell): -137.925

---

This record from Alexandria describes a relaxed structure of Hf12Ti3P5. The functional is GGA-PBE.

abc: 13.458 13.458 13.458
angles: 109.47 109.47 109.47
Atoms (fractional coordinates):
1 Hf 0.050 0.221 0.126
2 Hf 0.050 0.329 0.924
3 Hf 0.076 0.626 0.405
4 Hf 0.076 0.950 0.671
5 Hf 0.095 0.721 0.671
6 Hf 0.095 0.874 0.424
7 Hf 0.126 0.050 0.221
8 Hf 0.126 0.576 0.905
9 Hf 0.171 0.221 0.595
10 Hf 0.171 0.450 0.576
11 Hf 0.221 0.126 0.050
12 Hf 0.221 0.595 0.171
13 Hf 0.279 0.329 0.905
14 Hf 0.279 0.450 0.374
15 Hf 0.329 0.905 0.279
16 Hf 0.329 0.924 0.050
17 Hf 0.374 0.279 0.450
18 Hf 0.374 0.595 0.924
19 Hf 0.405 0.076 0.626
20 Hf 0.405 0.829 0.779
21 Hf 0.424 0.095 0.874
22 Hf 0.424 0.829 0.550
23 Hf 0.450 0.374 0.279
24 Hf 0.450 0.576 0.171
25 Hf 0.550 0.424 0.829
26 Hf 0.550 0.626 0.721
27 Hf 0.576 0.171 0.450
28 Hf 0.576 0.905 0.126
29 Hf 0.595 0.171 0.221
30 Hf 0.595 0.924 0.374
31 Hf 0.626 0.405 0.076
32 Hf 0.626 0.721 0.550
33 Hf 0.671 0.076 0.950
34 Hf 0.671 0.095 0.721
35 Hf 0.721 0.550 0.626
36 Hf 0.721 0.671 0.095
37 Hf 0.779 0.405 0.829
38 Hf 0.779 0.874 0.950
39 Hf 0.829 0.550 0.424
40 Hf 0.829 0.779 0.405
41 Hf 0.874 0.424 0.095
42 Hf 0.874 0.950 0.779
43 Hf 0.905 0.126 0.576
44 Hf 0.905 0.279 0.329
45 Hf 0.924 0.050 0.329
46 Hf 0.924 0.374 0.595
47 Hf 0.950 0.671 0.076
48 Hf 0.950 0.779 0.874
49 Ti 0.125 0.250 0.375
50 Ti 0.125 0.375 0.750
51 Ti 0.250 0.375 0.125
52 Ti 0.250 0.875 0.625
53 Ti 0.375 0.125 0.250
54 Ti 0.375 0.750 0.125
55 Ti 0.625 0.250 0.875
56 Ti 0.625 0.875 0.750
57 Ti 0.750 0.125 0.375
58 Ti 0.750 0.625 0.875
59 Ti 0.875 0.625 0.250
60 Ti 0.875 0.750 0.625
61 P 0.000 0.000 0.000
62 P 0.000 0.000 0.500
63 P 0.000 0.500 0.000
64 P 0.000 0.500 0.500
65 P 0.125 0.750 0.875
66 P 0.125 0.875 0.250
67 P 0.250 0.125 0.875
68 P 0.250 0.625 0.375
69 P 0.375 0.250 0.625
70 P 0.375 0.625 0.750
71 P 0.500 0.000 0.000
72 P 0.500 0.000 0.500
73 P 0.500 0.500 0.000
74 P 0.500 0.500 0.500
75 P 0.625 0.375 0.250
76 P 0.625 0.750 0.375
77 P 0.750 0.375 0.625
78 P 0.750 0.875 0.125
79 P 0.875 0.125 0.750
80 P 0.875 0.250 0.125

Results
Crystal system: cubic
Electronic total energy (eV per cell): -676.776

---

This record from Alexandria describes a relaxed structure of HfTi2P. The functional is GGA-PBE.

abc: 13.201 7.743 5.211
angles: 90.00 90.00 90.00
Atoms (fractional coordinates):
1 Hf 0.110 0.250 0.216
2 Hf 0.135 0.750 0.006
3 Hf 0.365 0.250 0.506
4 Hf 0.390 0.750 0.716
5 Hf 0.610 0.250 0.284
6 Hf 0.635 0.750 0.494
7 Hf 0.865 0.250 0.994
8 Hf 0.890 0.750 0.784
9 Ti 0.034 0.045 0.749
10 Ti 0.034 0.455 0.749
11 Ti 0.217 0.544 0.484
12 Ti 0.217 0.956 0.484
13 Ti 0.283 0.044 0.984
14 Ti 0.283 0.456 0.984
15 Ti 0.466 0.545 0.249
16 Ti 0.466 0.955 0.249
17 Ti 0.534 0.045 0.751
18 Ti 0.534 0.455 0.751
19 Ti 0.717 0.544 0.016
20 Ti 0.717 0.956 0.016
21 Ti 0.783 0.044 0.516
22 Ti 0.783 0.456 0.516
23 Ti 0.966 0.545 0.251
24 Ti 0.966 0.955 0.251
25 P 0.068 0.750 0.524
26 P 0.181 0.250 0.711
27 P 0.319 0.750 0.211
28 P 0.432 0.250 0.024
29 P 0.568 0.750 0.976
30 P 0.681 0.250 0.789
31 P 0.819 0.750 0.289
32 P 0.932 0.250 0.476

Results
Crystal system: orthorhombic
Electronic total energy (eV per cell): -276.748

---

This record from Alexandria describes a relaxed structure of HfTiP. The functional is GGA-PBE.

abc: 11.502 3.656 5.055
angles: 90.00 101.37 90.00
Atoms (fractional coordinates):
1 Hf 0.127 0.000 0.285
2 Hf 0.373 0.500 0.715
3 Hf 0.627 0.500 0.285
4 Hf 0.873 0.000 0.715
5 Ti 0.083 0.500 0.775
6 Ti 0.417 0.000 0.225
7 Ti 0.583 0.000 0.775
8 Ti 0.917 0.500 0.225
9 P 0.225 0.000 0.801
10 P 0.275 0.500 0.199
11 P 0.725 0.500 0.801
12 P 0.775 0.000 0.199

Results
Crystal system: monoclinic
Electronic total energy (eV per cell): -101.189

---

This record from Alexandria describes a relaxed structure of Hf2Ti3P2. The functional is GGA-PBE.

abc: 9.879 3.568 7.077
angles: 90.00 111.43 90.00
Atoms (fractional coordinates):
1 Hf 0.141 0.000 0.301
2 Hf 0.359 0.500 0.699
3 Hf 0.641 0.500 0.301
4 Hf 0.859 0.000 0.699
5 Ti 0.000 0.500 0.500
6 Ti 0.126 0.500 0.947
7 Ti 0.374 0.000 0.053
8 Ti 0.500 0.000 0.500
9 Ti 0.626 0.000 0.947
10 Ti 0.874 0.500 0.053
11 P 0.160 0.000 0.715
12 P 0.340 0.500 0.285
13 P 0.660 0.500 0.715
14 P 0.840 0.000 0.285

Results
Crystal system: monoclinic
Electronic total energy (eV per cell): -121.627

---

This record from Alexandria describes a relaxed structure of HfTi5P3. The functional is GGA-PBE.

abc: 6.650 6.650 8.767
angles: 109.60 109.60 72.02
Atoms (fractional coordinates):
1 Hf 0.114 0.114 0.310
2 Hf 0.886 0.886 0.690
3 Ti 0.029 0.625 0.345
4 Ti 0.226 0.226 0.016
5 Ti 0.299 0.701 0.000
6 Ti 0.375 0.971 0.655
7 Ti 0.413 0.413 0.613
8 Ti 0.587 0.587 0.387
9 Ti 0.625 0.029 0.345
10 Ti 0.701 0.299 0.000
11 Ti 0.774 0.774 0.984
12 Ti 0.971 0.375 0.655
13 P 0.000 0.000 0.000
14 P 0.000 0.000 0.500
15 P 0.335 0.335 0.832
16 P 0.349 0.349 0.314
17 P 0.651 0.651 0.686
18 P 0.665 0.665 0.168

Results
Crystal system: monoclinic
Electronic total energy (eV per cell): -142.466

---

Energy of formation list, top to bottom, in kJ/mol of atoms: -83.8, -114.7, -69.2, -91.5, -111.8, -27.8, -115.4, 4.7, -83.0, -65.6, -88.2, -59.8